Here is a relaxed structure of Tb3Nd2Sn from the Alexandria database. Energies are from PBE-GGA. Values from VASP.

* energy: -28.9 eV for the cell shown
* calculated volume: 30.74 Å³/atom
* symmetry: No. 65
* ΔH_f (0 K): -24.28 kJ per mole of atoms

Cell and atoms, written as Quantum ESPRESSO input:
```
&SYSTEM
  ibrav = 0, nat = 6, ntyp = 3
/
ATOMIC_SPECIES
Tb 158.93 Tb.upf
Nd 144.24 Nd.upf
Sn 118.71 Sn.upf
ATOMIC_POSITIONS crystal
Tb 0.000 0.000 0.000
Tb 0.337 0.663 0.000
Tb 0.663 0.337 0.000
Nd 0.160 0.840 0.500
Nd 0.840 0.160 0.500
Sn 0.500 0.500 0.500
CELL_PARAMETERS angstrom
2.446 -7.669 0.000
2.446 7.669 0.000
0.000 0.000 4.915
```


Here is a relaxed structure of AcPmNd from the Alexandria database. Energies are from PBE-GGA. Values from VASP.

* ΔE to the lowest computed polymorph: 4.8 meV per atom
* energy: -13.5 eV for the cell shown
* calculated volume: 38.11 Å³/atom
* symmetry: No. 156
* ΔH_f (0 K): 3.64 kJ per mole of atoms

Cell and atoms, written as Quantum ESPRESSO input:
```
&SYSTEM
  ibrav = 0, nat = 3, ntyp = 3
/
ATOMIC_SPECIES
Ac 227.00 Ac.upf
Pm 145.00 Pm.upf
Nd 144.24 Nd.upf
ATOMIC_POSITIONS crystal
Ac 0.000 0.000 0.000
Pm 0.667 0.333 0.339
Nd 0.333 0.667 0.658
CELL_PARAMETERS angstrom
3.795 0.000 0.000
-1.897 3.286 0.000
0.000 0.000 9.166
```


Here is a relaxed structure of TaCu2Rh from the Alexandria database. Energies are from PBE-GGA. Values from VASP.

* energy: -27.6 eV for the cell shown
* calculated volume: 14.13 Å³/atom
* symmetry: No. 47
* ΔH_f (0 K): -5.51 kJ per mole of atoms

Cell and atoms, written as Quantum ESPRESSO input:
```
&SYSTEM
  ibrav = 0, nat = 4, ntyp = 3
/
ATOMIC_SPECIES
Ta 180.95 Ta.upf
Cu 63.55 Cu.upf
Rh 102.91 Rh.upf
ATOMIC_POSITIONS crystal
Ta 0.000 0.000 0.000
Cu 0.500 0.500 0.255
Cu 0.500 0.500 0.745
Rh 0.000 0.000 0.500
CELL_PARAMETERS angstrom
2.802 0.000 0.000
0.000 3.943 0.000
0.000 0.000 5.117
```


Here is a relaxed structure of LiPtCl from the Alexandria database. Energies are from PBE-GGA. Values from VASP.

* ΔE to the lowest computed polymorph: 23.4 meV per atom
* energy: -24.4 eV for the cell shown
* calculated volume: 20.55 Å³/atom
* symmetry: No. 63

Cell and atoms, written as Quantum ESPRESSO input:
```
&SYSTEM
  ibrav = 0, nat = 6, ntyp = 3
/
ATOMIC_SPECIES
Li 6.94 Li.upf
Pt 195.08 Pt.upf
Cl 35.45 Cl.upf
ATOMIC_POSITIONS crystal
Li 0.068 0.932 0.750
Li 0.932 0.068 0.250
Pt 0.447 0.553 0.750
Pt 0.553 0.447 0.250
Cl 0.348 0.652 0.250
Cl 0.652 0.348 0.750
CELL_PARAMETERS angstrom
1.980 -8.447 0.000
1.980 8.447 0.000
0.000 0.000 3.687
```


Here is a relaxed structure of Tm3ThIn2 from the Alexandria database. Energies are from PBE-GGA. Values from VASP.

* energy: -28.1 eV for the cell shown
* calculated volume: 27.41 Å³/atom
* symmetry: No. 123
* ΔH_f (0 K): -29.00 kJ per mole of atoms

Cell and atoms, written as Quantum ESPRESSO input:
```
&SYSTEM
  ibrav = 0, nat = 6, ntyp = 3
/
ATOMIC_SPECIES
Tm 168.93 Tm.upf
Th 232.04 Th.upf
In 114.82 In.upf
ATOMIC_POSITIONS crystal
Tm 0.000 0.000 0.000
Tm 0.000 0.000 0.315
Tm 0.000 0.000 0.685
Th 0.500 0.500 0.500
In 0.500 0.500 0.158
In 0.500 0.500 0.842
CELL_PARAMETERS angstrom
3.577 0.000 0.000
0.000 3.577 0.000
0.000 0.000 12.854
```


Here is a relaxed structure of Pr2Ho2Er3 from the Alexandria database. Energies are from PBE-GGA. Values from VASP.

* ΔE to the lowest computed polymorph: 91.6 meV per atom
* energy: -61.7 eV for the cell shown
* calculated volume: 32.99 Å³/atom
* symmetry: No. 199
* ΔH_f (0 K): 21.32 kJ per mole of atoms

Cell and atoms, written as Quantum ESPRESSO input:
```
&SYSTEM
  ibrav = 0, nat = 14, ntyp = 3
/
ATOMIC_SPECIES
Pr 140.91 Pr.upf
Ho 164.93 Ho.upf
Er 167.26 Er.upf
ATOMIC_POSITIONS crystal
Pr 0.000 0.686 0.500
Pr 0.500 0.000 0.686
Pr 0.686 0.500 0.000
Pr 0.814 0.814 0.814
Ho 0.000 0.085 0.500
Ho 0.085 0.500 0.000
Ho 0.415 0.415 0.415
Ho 0.500 0.000 0.085
Er 0.196 0.946 0.250
Er 0.250 0.196 0.946
Er 0.304 0.554 0.750
Er 0.554 0.750 0.304
Er 0.750 0.304 0.554
Er 0.946 0.250 0.196
CELL_PARAMETERS angstrom
-4.869 4.869 4.869
4.869 -4.869 4.869
4.869 4.869 -4.869
```